The following is a DFT calculation (GGA+U) of a geometry-optimized Ca5Mn2Ni2O12 structure.

Cell: 6.390 6.390 6.396 Å, 93.24 93.24 92.46°
Fractional coordinates of all 21 atoms:
1 Ca 0.000 0.000 0.000
2 Ca 0.128 0.494 0.855
3 Ca 0.286 0.361 0.367
4 Ca 0.506 0.872 0.145
5 Ca 0.639 0.714 0.633
6 Mn 0.387 0.109 0.756
7 Mn 0.891 0.613 0.244
8 Ni 0.123 0.877 0.500
9 Ni 0.641 0.359 0.000
10 O 0.100 0.143 0.670
11 O 0.178 0.696 0.206
12 O 0.304 0.822 0.794
13 O 0.340 0.193 0.046
14 O 0.406 0.007 0.467
15 O 0.456 0.401 0.723
16 O 0.599 0.544 0.277
17 O 0.668 0.069 0.861
18 O 0.807 0.660 0.954
19 O 0.857 0.900 0.330
20 O 0.931 0.332 0.139
21 O 0.993 0.594 0.533

Summary:
- total DFT energy (no corrections) (eV for the cell shown) = -130.4